{"formula": "LiTc2W", "functional": "PBE-GGA", "state": "optimized geometry", "lattice_angstrom": [[-0.9511, -2.4743, 0.2827], [0.6555, 1.0993, 2.3385], [-8.5867, 3.3934, 0.8119]], "species": ["Li", "Tc", "Tc", "W"], "fractional_positions": [[0.5000, 0.5000, 0.7559], [0.5000, 0.5000, 0.2461], [0.0000, 0.0000, 0.0076], [0.0000, 0.0000, 0.4904]], "relative_energy_kj_per_mol_fu": 57.3, "sg": "No. 35", "formation_enthalpy_0k_ev_per_atom": 0.311, "crystal_system": "orthorhombic"}


{"formula": "LiTc2W", "functional": "PBE-GGA", "state": "optimized geometry", "lattice_angstrom": [[2.6786, -0.0032, 0.0000], [-0.9125, 2.5184, 0.0000], [0.0000, 0.0000, 8.9733]], "species": ["W", "Tc", "Tc", "Li"], "fractional_positions": [[0.5000, 0.5000, 0.2500], [0.0000, 0.0000, 0.0054], [0.0000, 0.0000, 0.4946], [0.5000, 0.5000, 0.7500]], "relative_energy_kj_per_mol_fu": 15.7, "sg": "No. 65", "formation_enthalpy_0k_ev_per_atom": 0.203, "crystal_system": "orthorhombic"}


{"formula": "LiTcW2", "functional": "PBE-GGA", "state": "optimized geometry", "lattice_angstrom": [[-0.0525, -2.6835, -1.6814], [2.7387, 0.8058, -1.3716], [2.8955, -2.6894, 4.2018]], "species": ["Li", "W", "W", "Tc"], "fractional_positions": [[0.5000, 0.5000, 0.2500], [0.0000, 0.0000, 0.0185], [0.0000, 0.0000, 0.4815], [0.5000, 0.5000, 0.7500]], "relative_energy_kj_per_mol_fu": 76.2, "sg": "No. 123", "formation_enthalpy_0k_ev_per_atom": 0.452, "crystal_system": "tetragonal"}